Compound: TbSmEr5
Source: Alexandria via LeMat-Bulk
Functional: GGA-PBE
Structure: optimized geometry

Cell lengths 6.7020, 6.7020, 13.6331 Å; angles 61.50, 61.50, 60.36 degrees
Element x y z (fractional)
Er (0.6492, 0.6938, 0.5004)
Tb (0.0000, 0.0000, 0.5000)
Tb (0.0000, 0.0000, 0.0000)
Er (0.3062, 0.3508, 0.9996)
Sm (0.2765, 0.7235, 0.2500)
Sm (0.7235, 0.2765, 0.7500)
Er (0.6100, 0.8318, 0.7493)
Er (0.6938, 0.6492, 0.0004)
Er (0.3900, 0.1682, 0.2507)
Er (0.3508, 0.3062, 0.4996)
Er (0.8318, 0.6100, 0.2493)
Er (0.1626, 0.8374, 0.7500)
Er (0.1682, 0.3900, 0.7507)
Er (0.8374, 0.1626, 0.2500)

* relative energy among the computed polymorphs: 0.0000 eV per atom
* total magnetization: 0.00 μB/f.u.
* symmetry: C2/c
* ΔE_f: 198.5 meV per atom